This record from Alexandria describes a relaxed Nd2NpMnO8 crystal. The functional is PBE+U.

```
12
Lattice="4.1677 0.0000 0.0000 0.7741 5.3344 0.0000 0.3198 0.9444 7.5489" Properties=species:S:1:pos:R:3 pbc="T T T"
Nd 0.1927 0.4497 1.7675
Nd 5.0689 5.8292 5.7814
Np 2.6308 3.1394 3.7745
Mn 2.4709 2.6672 0.0000
O 1.0509 4.3218 3.8768
O 1.1495 4.0073 0.2719
O 2.1686 1.8494 5.1382
O 2.2336 1.9021 1.8247
O 3.0280 4.3768 5.7242
O 3.0930 4.4294 2.4108
O 4.1121 2.2716 7.2770
O 4.2107 1.9571 3.6721
```

## Properties
- SG = P-1
- raw total energy (eV per atom) = -8.48